Crystalline InGe2Ru2 at its relaxed geometry. Source: the Alexandria database, functional PBE-GGA.

CIF file:
```
data_InGe2Ru2
_chemical_formula_sum 'In2 Ge4 Ru4'
_symmetry_space_group_name_H-M 'P 4/m b m'
_symmetry_Int_Tables_number 127
_symmetry_space_group_name_Hall '-P 4 2ab'
_cell_length_a 7.416
_cell_length_b 7.416
_cell_length_c 2.938
_cell_angle_alpha 90.00
_cell_angle_beta 90.00
_cell_angle_gamma 90.00
loop_
_atom_site_label
_atom_site_type_symbol
_atom_site_fract_x
_atom_site_fract_y
_atom_site_fract_z
_atom_site_occupancy
In1 In 0.000 0.000 0.000 1
Ge1 Ge 0.138 0.362 0.000 1
Ru1 Ru 0.153 0.653 0.500 1
```

Computed properties:
DFT total energy   -60.70 eV for the cell shown
Formation energy from the elements   0.035 eV per atom